(1)
The following is a PBE calculation of a relaxed OsC crystal, from Alexandria.

Cell lengths 3.3826, 3.3826, 15.3211 Å; angles 90.00, 90.00, 120.00 degrees
Last column: nearest neighbours and their distance in Å.
Space group R-3m (No. 166, hexagonal axes)
Inequivalent atoms, fractional coordinates:
Os  0.0000  0.0000  0.0861 (multiplicity 6)  3 C 1.95
C  0.0000  0.0000  0.2453 (multiplicity 6)  3 Os 1.95

Summary:
E_form = 0.8934 eV per atom
D(E_F) = 0.482 states/eV/atom
size of the total moment = 0.00 μB/f.u.
distance to the lowest polymorph of the same formula = 173 meV per atom

---

(2)
The following is a PBE calculation of a relaxed OsC crystal, from Alexandria.

Cell lengths 2.7062, 3.3951, 9.1462 Å; angles 90.00, 90.00, 90.00 degrees
Last column: nearest neighbours and their distance in Å.
Space group Imma (No. 74)
Inequivalent atoms, fractional coordinates:
Os  0.0000  0.2500  0.1149 (multiplicity 4)  6 C 2.17-2.43
C  0.0000  0.2500  0.6056 (multiplicity 4)  6 Os 2.17-2.43

Summary:
E_form = 1.4020 eV per atom
D(E_F) = 0.560 states/eV/atom
size of the total moment = 0.00 μB/f.u.
distance to the lowest polymorph of the same formula = 682 meV per atom

---

(3)
The following is a PBE calculation of a relaxed Os5C3 crystal, from Alexandria.

Cell lengths 6.0014, 6.3472, 6.0055 Å; angles 90.00, 119.92, 90.00 degrees
Last column: nearest neighbours and their distance in Å.
Space group P2_1/m (No. 11)
Inequivalent atoms, fractional coordinates:
Os  0.0542  0.2500  0.2604 (multiplicity 2)  2 C 1.99-2.08
Os  0.2386  0.2500  0.7931 (multiplicity 2)  2 C 1.99-2.09
Os  0.2938  0.7500  0.5542 (multiplicity 2)  2 C 1.99-2.08
Os  0.3337  0.5437  0.1665 (multiplicity 4)  3 C 2.09
C  0.0447  0.7500  0.1250 (multiplicity 2)  4 Os 1.99-2.09
C  0.3756  0.7500  0.9190 (multiplicity 2)  4 Os 1.99-2.09
C  0.4188  0.2500  0.5443 (multiplicity 2)  4 Os 1.99-2.09

Summary:
E_form = 1.0066 eV per atom
D(E_F) = 0.592 states/eV/atom
size of the total moment = 0.00 μB/f.u.
distance to the lowest polymorph of the same formula = 147 meV per atom